Run i
Here is a relaxed LiLaHg2 crystal from OQMD. Energies are from PBE-GGA.

Computed properties:
Symmetry   No. 225

Geometry as POSCAR:
```
LiLaHg2
1.0
-4.717 -0.969 -2.023
1.751 -7.142 -0.662
-5.606 -2.705 14.366
La Hg Li
6 12 6
Direct
0.000 0.000 0.000
0.501 0.500 0.833
0.999 0.000 0.333
0.001 0.000 0.667
0.499 0.500 0.167
0.500 0.500 0.500
0.501 0.750 0.667
0.000 0.750 0.500
0.999 0.250 0.167
0.000 0.250 0.500
0.999 0.750 0.167
0.499 0.250 0.333
0.499 0.750 0.333
0.501 0.250 0.667
0.001 0.250 0.833
0.500 0.250 0.000
0.001 0.750 0.833
0.500 0.750 0.000
0.500 0.000 0.167
0.000 0.500 0.333
0.000 0.500 0.667
0.500 0.000 0.500
0.000 0.500 0.000
0.500 0.000 0.833
```

=====

Run ii
Here is a relaxed LiLaHg2 crystal from OQMD. Energies are from PBE-GGA.

Computed properties:
Symmetry   No. 194

Geometry as POSCAR:
```
LiLaHg2
1.0
-4.376 -0.745 2.152
3.309 -3.653 -0.190
3.665 2.881 8.450
Li Hg La
2 4 2
Direct
0.000 0.000 0.500
0.000 0.000 0.000
0.333 0.667 0.919
0.667 0.333 0.081
0.667 0.333 0.419
0.333 0.667 0.581
0.667 0.333 0.750
0.333 0.667 0.250
```

=====

Run iii
Here is a relaxed LiLaHg2 crystal from OQMD. Energies are from PBE-GGA.

Computed properties:
Symmetry   No. 123

Geometry as POSCAR:
```
LiLaHg2
1.0
3.565 0.000 0.000
0.000 3.565 0.000
0.000 0.000 7.556
Li Hg La
1 2 1
Direct
0.000 0.000 0.500
0.500 0.500 0.294
0.500 0.500 0.706
0.000 0.000 0.000
```

=====

In terms of stability, run i leads; the second structure lies 15 meV per atom higher.

=====

Run i
Here is a relaxed LaMgTlHg crystal from OQMD. Energies are from PBE-GGA.

Computed properties:
Symmetry   No. 216

Geometry as POSCAR:
```
LaMgTlHg
1.0
0.000 3.759 3.759
3.759 0.000 3.759
3.759 3.759 0.000
Tl Mg Hg La
1 1 1 1
Direct
0.250 0.250 0.250
0.500 0.500 0.500
0.000 0.000 0.000
0.750 0.750 0.750
```

=====

Run ii
Here is a relaxed LaMgTlHg crystal from OQMD. Energies are from PBE-GGA.

Computed properties:
Symmetry   No. 216

Geometry as POSCAR:
```
LaMgTlHg
1.0
0.000 3.754 3.754
3.754 0.000 3.754
3.754 3.754 0.000
La Mg Hg Tl
1 1 1 1
Direct
0.750 0.750 0.750
0.000 0.000 0.000
0.250 0.250 0.250
0.500 0.500 0.500
```

=====

Run iii
Here is a relaxed LaMgTlHg crystal from OQMD. Energies are from PBE-GGA.

Computed properties:
Symmetry   No. 216

Geometry as POSCAR:
```
LaMgTlHg
1.0
0.000 3.758 3.758
3.758 0.000 3.758
3.758 3.758 0.000
Mg Tl Hg La
1 1 1 1
Direct
0.250 0.250 0.250
0.000 0.000 0.000
0.500 0.500 0.500
0.750 0.750 0.750
```

=====

In terms of stability, run iii leads; the second structure lies 165 meV per atom higher.

=====

Run i
Here is a relaxed LaNdSn2Hg2 crystal from OQMD. Energies are from PBE-GGA.

Computed properties:
Symmetry   No. 194

Geometry as POSCAR:
```
LaNdSn2Hg2
1.0
-2.680 -3.686 1.499
2.281 -0.250 -4.213
13.453 -6.660 7.681
Nd La Hg Sn
2 2 4 4
Direct
0.000 0.000 0.250
0.000 0.000 0.750
0.000 0.000 0.000
0.000 0.000 0.500
0.333 0.667 0.157
0.333 0.667 0.343
0.667 0.333 0.657
0.667 0.333 0.843
0.667 0.333 0.108
0.667 0.333 0.392
0.333 0.667 0.608
0.333 0.667 0.892
```

=====

Run ii
Here is a relaxed LaNdSn2Hg2 crystal from OQMD. Energies are from PBE-GGA.

Computed properties:
Symmetry   No. 194

Geometry as POSCAR:
```
LaNdSn2Hg2
1.0
-0.251 0.745 -4.755
1.899 -4.090 1.701
-15.168 -7.175 -0.323
Nd Hg Sn La
2 4 4 2
Direct
0.000 0.000 0.500
0.000 0.000 0.000
0.667 0.333 0.653
0.667 0.333 0.847
0.333 0.667 0.347
0.333 0.667 0.153
0.667 0.333 0.105
0.667 0.333 0.395
0.333 0.667 0.605
0.333 0.667 0.895
0.000 0.000 0.750
0.000 0.000 0.250
```

=====

In terms of stability, run i leads; the second structure lies 20 meV per atom higher.

=====

Run i
Here is a relaxed LaHgSO crystal from OQMD. Energies are from PBE-GGA.

Computed properties:
Symmetry   No. 26

Geometry as POSCAR:
```
LaHgSO
1.0
-2.869 -3.712 -1.901
-2.395 -2.389 8.281
-3.945 3.166 -0.228
La S Hg O
2 2 2 2
Direct
0.500 0.148 0.588
0.500 0.852 0.088
0.000 0.691 0.136
0.000 0.309 0.636
0.000 0.319 0.133
0.000 0.681 0.633
0.500 0.092 0.135
0.500 0.908 0.635
```

=====

Run ii
Here is a relaxed LaHgSO crystal from OQMD. Energies are from PBE-GGA.

Computed properties:
Symmetry   No. 129

Geometry as POSCAR:
```
LaHgSO
1.0
-1.176 3.805 0.945
-3.830 -0.903 -1.128
-2.048 -2.946 9.310
O S Hg La
2 2 2 2
Direct
0.750 0.250 0.000
0.250 0.750 0.000
0.250 0.250 0.728
0.750 0.750 0.272
0.750 0.250 0.500
0.250 0.750 0.500
0.250 0.250 0.122
0.750 0.750 0.878
```

=====

Run iii
Here is a relaxed LaHgSO crystal from OQMD. Energies are from PBE-GGA.

Computed properties:
Symmetry   No. 29

Geometry as POSCAR:
```
LaHgSO
1.0
7.720 0.000 0.000
0.000 9.171 0.000
0.000 0.000 5.634
La O Hg S
4 4 4 4
Direct
0.046 0.684 0.555
0.454 0.684 0.055
0.546 0.316 0.555
0.954 0.316 0.055
0.519 0.092 0.631
0.481 0.908 0.131
0.019 0.908 0.631
0.981 0.092 0.131
0.847 0.888 0.008
0.347 0.112 0.008
0.653 0.888 0.508
0.153 0.112 0.508
0.412 0.623 0.556
0.912 0.377 0.556
0.088 0.623 0.056
0.588 0.377 0.056
```

=====

Run iv
Here is a relaxed LaHgSO crystal from OQMD. Energies are from PBE-GGA.

Computed properties:
Symmetry   No. 4

Geometry as POSCAR:
```
LaHgSO
1.0
-4.632 2.788 -2.319
-3.317 -4.809 0.845
-3.123 3.950 10.215
Hg S La O
4 4 4 4
Direct
0.003 0.660 0.672
0.680 0.909 0.502
0.997 0.160 0.328
0.320 0.409 0.498
0.284 0.944 0.706
0.714 0.380 0.709
0.286 0.880 0.291
0.716 0.444 0.294
0.504 0.676 0.896
0.496 0.176 0.104
0.005 0.176 0.894
0.995 0.676 0.106
0.750 0.927 0.000
0.250 0.427 0.000
0.247 0.928 0.000
0.753 0.428 0.000
```

=====

In terms of stability, run iv leads; the second structure lies 82 meV per atom higher.

=====

Run i
Here is a relaxed LaHgSeO crystal from OQMD. Energies are from PBE-GGA.

Computed properties:
Symmetry   No. 26

Geometry as POSCAR:
```
LaHgSeO
1.0
-0.517 1.979 -4.782
2.096 -4.492 -2.086
-8.343 -3.617 -0.595
Se La O Hg
2 2 2 2
Direct
0.000 0.142 0.812
0.000 0.642 0.188
0.500 0.054 0.645
0.500 0.554 0.355
0.500 0.156 0.416
0.500 0.656 0.584
0.000 0.638 0.819
0.000 0.138 0.181
```

=====

Run ii
Here is a relaxed LaHgSeO crystal from OQMD. Energies are from PBE-GGA.

Computed properties:
Symmetry   No. 4

Geometry as POSCAR:
```
LaHgSeO
1.0
-0.046 -1.712 -5.521
5.750 -0.400 0.076
-0.774 -9.853 6.633
Se O Hg La
4 4 4 4
Direct
0.848 0.700 0.741
0.152 0.200 0.259
0.648 0.697 0.255
0.352 0.197 0.745
0.249 0.454 0.000
0.750 0.453 0.000
0.250 0.953 0.000
0.751 0.954 0.000
0.969 0.087 0.582
0.446 0.600 0.588
0.031 0.587 0.418
0.554 0.100 0.412
0.939 0.204 0.892
0.440 0.705 0.894
0.061 0.704 0.108
0.560 0.205 0.106
```

=====

In terms of stability, run ii leads; the second structure lies 309 meV per atom higher.

=====

Run i
Here is a relaxed LaYTl2Hg2 crystal from OQMD. Energies are from PBE-GGA.

Computed properties:
Symmetry   No. 187

Geometry as POSCAR:
```
LaYTl2Hg2
1.0
5.339 0.000 0.000
-2.670 4.624 0.000
0.000 0.000 6.628
Hg Tl La Y
2 2 1 1
Direct
0.000 0.000 0.000
0.667 0.333 0.500
0.333 0.667 0.252
0.333 0.667 0.748
0.667 0.333 0.000
0.000 0.000 0.500
```

=====

Run ii
Here is a relaxed LaYTl2Hg2 crystal from OQMD. Energies are from PBE-GGA.

Computed properties:
Symmetry   No. 156

Geometry as POSCAR:
```
LaYTl2Hg2
1.0
4.937 0.000 0.000
-2.469 4.276 0.000
0.000 0.000 7.728
Hg Tl Y La
2 2 1 1
Direct
0.333 0.667 0.057
0.667 0.333 0.539
0.333 0.667 0.453
0.667 0.333 0.963
0.000 0.000 0.243
0.000 0.000 0.744
```

=====

In terms of stability, run i leads; the second structure lies 14 meV per atom higher.

=====

Run i
Here is a relaxed LiHgNO crystal from OQMD. Energies are from PBE-GGA.

Computed properties:
Symmetry   No. 129

Geometry as POSCAR:
```
LiHgNO
1.0
3.982 0.000 0.000
0.000 3.982 0.000
0.000 0.000 7.090
N O Li Hg
2 2 2 2
Direct
0.250 0.250 0.465
0.750 0.750 0.535
0.250 0.750 0.000
0.750 0.250 0.000
0.750 0.250 0.500
0.250 0.750 0.500
0.250 0.250 0.163
0.750 0.750 0.837
```

=====

Run ii
Here is a relaxed LiHgNO crystal from OQMD. Energies are from PBE-GGA.

Computed properties:
Symmetry   No. 29

Geometry as POSCAR:
```
LiHgNO
1.0
-0.686 3.918 -4.281
4.657 -3.993 -4.400
-3.615 -2.417 -1.633
Hg O Li N
4 4 4 4
Direct
0.509 0.156 0.051
0.009 0.844 0.051
0.491 0.844 0.551
0.991 0.156 0.551
0.519 0.128 0.551
0.981 0.128 0.051
0.481 0.872 0.051
0.019 0.872 0.551
0.576 0.632 0.050
0.076 0.368 0.050
0.924 0.632 0.550
0.424 0.368 0.550
0.094 0.418 0.551
0.406 0.418 0.051
0.594 0.582 0.551
0.906 0.582 0.051
```

=====

Run iii
Here is a relaxed LiHgNO crystal from OQMD. Energies are from PBE-GGA.

Computed properties:
Symmetry   No. 26

Geometry as POSCAR:
```
LiHgNO
1.0
-1.628 -2.820 0.000
0.000 0.000 5.781
-4.984 2.878 0.000
O N Li Hg
2 2 2 2
Direct
0.500 0.334 0.125
0.500 0.834 0.875
0.000 0.883 0.347
0.000 0.383 0.653
0.500 0.010 0.157
0.500 0.510 0.843
0.000 0.527 0.303
0.000 0.027 0.697
```

=====

In terms of stability, run ii leads; the second structure lies 26 meV per atom higher.

=====

Run i
Here is a relaxed LiNdHgS3 crystal from OQMD. Energies are from PBE-GGA.

Computed properties:
Symmetry   No. 63

Geometry as POSCAR:
```
LiNdHgS3
1.0
4.083 0.000 0.000
2.041 6.295 0.000
0.000 0.000 11.155
Li S Hg Nd
2 6 2 2
Direct
0.732 0.536 0.750
0.268 0.464 0.250
0.646 0.708 0.438
0.903 0.194 0.250
0.354 0.292 0.938
0.097 0.806 0.750
0.646 0.708 0.062
0.354 0.292 0.562
0.459 0.082 0.750
0.541 0.918 0.250
0.000 0.000 0.000
0.000 0.000 0.500
```

=====

Run ii
Here is a relaxed LiNdHgS3 crystal from OQMD. Energies are from PBE-GGA.

Computed properties:
Symmetry   No. 62

Geometry as POSCAR:
```
LiNdHgS3
1.0
10.842 0.000 0.000
0.000 4.115 0.000
0.000 0.000 12.785
S Nd Li Hg
12 4 4 4
Direct
0.866 0.750 0.799
0.634 0.250 0.299
0.154 0.250 0.922
0.904 0.750 0.389
0.096 0.250 0.611
0.596 0.250 0.889
0.346 0.750 0.422
0.366 0.750 0.701
0.404 0.750 0.111
0.134 0.250 0.201
0.846 0.750 0.078
0.654 0.250 0.578
0.881 0.250 0.235
0.619 0.750 0.735
0.119 0.750 0.765
0.381 0.250 0.265
0.338 0.250 0.585
0.838 0.250 0.915
0.662 0.750 0.415
0.162 0.750 0.085
0.374 0.250 0.894
0.126 0.750 0.394
0.626 0.750 0.106
0.874 0.250 0.606
```

=====

In terms of stability, run ii leads; the second structure lies 112 meV per atom higher.